# meta-GGA SCAN LaScAl2, single point on PBEsol structure
data_LaScAl2
_chemical_formula_sum 'La1 Sc1 Al2'
_cell_length_a 4.421
_cell_length_b 4.421
_cell_length_c 5.552
_cell_angle_alpha 113.46
_cell_angle_beta 113.46
_cell_angle_gamma 90.00
_space_group_name_H-M_alt 'P 1'
_space_group_IT_number 1
_space_group_name_Hall 'P 1'
loop_
_atom_site_label
_atom_site_fract_x
_atom_site_fract_y
_atom_site_fract_z
Al1 0.750 0.250 0.500
Al2 0.000 0.000 0.000
La1 0.500 0.500 0.000
Sc1 0.250 0.750 0.500
# * N(E_F): 3.00 states/eV/f.u.
# * magnetization: 0.045 μB/atom
# * ΔE_f: -162 meV/atom
# * symmetry: I-4m2, No. 119